Compound: Dy2TmThSc5
Source: the Alexandria database
Functional: GGA-PBE
Structure: optimized geometry

Structure (CIF):
```
data_Dy2TmThSc5
_chemical_formula_sum 'Dy8 Tm4 Th4 Sc20'
_cell_length_a 5.373
_cell_length_b 19.538
_cell_length_c 9.642
_cell_angle_alpha 90.00
_cell_angle_beta 90.00
_cell_angle_gamma 90.00
_symmetry_space_group_name_H-M 'C m c 21'
_symmetry_Int_Tables_number 36
loop_
_symmetry_equiv_pos_as_xyz
'x,y,z'
'-x,-y,z+1/2'
'-x,y,z'
'x,-y,z+1/2'
'x+1/2,y+1/2,z'
'-x+1/2,-y+1/2,z+1/2'
'-x+1/2,y+1/2,z'
'x+1/2,-y+1/2,z+1/2'
loop_
_atom_site_label
_atom_site_fract_x
_atom_site_fract_y
_atom_site_fract_z
Dy1 0.000 0.103 0.000
Dy2 0.000 0.138 0.382
Tm1 0.000 0.208 0.712
Th1 0.000 0.402 0.106
Sc1 0.000 0.019 0.704
Sc2 0.000 0.255 0.045
Sc3 0.000 0.312 0.411
Sc4 0.000 0.401 0.699
Sc5 0.000 0.477 0.406
```

Formation energy ... 177.0 meV/atom
Total DFT energy (no corrections) ... -204.64 eV/cell

Compound: SmHo2SbN4
Source: the Alexandria database
Functional: GGA-PBE
Structure: optimized geometry

Structure (CIF):
```
data_SmHo2SbN4
_chemical_formula_sum 'Sm4 Ho8 Sb4 N16'
_cell_length_a 3.311
_cell_length_b 13.442
_cell_length_c 11.427
_cell_angle_alpha 90.00
_cell_angle_beta 90.00
_cell_angle_gamma 90.00
_symmetry_space_group_name_H-M 'C m c m'
_symmetry_Int_Tables_number 63
_symmetry_space_group_name_Hall '-C 2c 2'
loop_
_atom_site_label
_atom_site_fract_x
_atom_site_fract_y
_atom_site_fract_z
Sm1 0.000 0.239 0.250
Ho1 0.000 0.369 0.504
Sb1 0.000 0.012 0.750
N1 0.000 0.000 0.000
N2 0.000 0.212 0.607
N3 0.000 0.409 0.750
```

Energy relative to the elements, uncorrected ... -851.2 meV per atom
Total DFT energy (no corrections) ... -232.43 eV/cell

Compound: TiGeO3
Source: the Alexandria database
Functional: GGA-PBE
Structure: optimized geometry

Structure (CIF):
```
data_TiGeO3
_chemical_formula_sum 'Ti1 Ge1 O3'
_cell_length_a 3.851
_cell_length_b 3.851
_cell_length_c 3.851
_cell_angle_alpha 90.00
_cell_angle_beta 90.00
_cell_angle_gamma 90.00
_symmetry_space_group_name_H-M 'P m -3 m'
_symmetry_Int_Tables_number 221
_symmetry_space_group_name_Hall '-P 4 2 3'
loop_
_atom_site_label
_atom_site_fract_x
_atom_site_fract_y
_atom_site_fract_z
Ti1 0.000 0.000 0.000
Ge1 0.500 0.500 0.500
O1 0.000 0.000 0.500
```

Energy relative to the elements, uncorrected ... -1967.6 meV per atom
Total DFT energy (no corrections) ... -37.22 eV/cell

Compound: ZrTlCu
Source: the Alexandria database
Functional: GGA-PBE
Structure: optimized geometry

Structure (CIF):
```
data_ZrTlCu
_chemical_formula_sum 'Zr2 Tl2 Cu2'
_cell_length_a 5.588
_cell_length_b 3.077
_cell_length_c 7.324
_cell_angle_alpha 90.00
_cell_angle_beta 105.41
_cell_angle_gamma 90.00
_symmetry_space_group_name_H-M 'P 1 2 1'
_symmetry_Int_Tables_number 3
loop_
_symmetry_equiv_pos_as_xyz
'x,y,z'
'-x,y,-z'
loop_
_atom_site_label
_atom_site_fract_x
_atom_site_fract_y
_atom_site_fract_z
Zr1 0.100 0.000 0.297
Tl1 0.388 0.501 0.684
Cu1 0.224 0.499 0.003
```

Formation energy ... 52.1 meV/atom
Total DFT energy (no corrections) ... -29.71 eV/cell

Compound: HgPb2W
Source: the Alexandria database
Functional: GGA-PBE
Structure: optimized geometry

Structure (CIF):
```
data_HgPb2W
_chemical_formula_sum 'Hg4 Pb8 W4'
_cell_length_a 7.344
_cell_length_b 7.344
_cell_length_c 7.344
_cell_angle_alpha 90.00
_cell_angle_beta 90.00
_cell_angle_gamma 90.00
_symmetry_space_group_name_H-M 'F -4 3 m'
_symmetry_Int_Tables_number 216
_symmetry_space_group_name_Hall 'F -4 2 3'
loop_
_atom_site_label
_atom_site_fract_x
_atom_site_fract_y
_atom_site_fract_z
Hg1 0.000 0.000 0.000
Pb1 0.000 0.000 0.500
Pb2 0.250 0.250 0.750
W1 0.250 0.250 0.250
```

Formation energy ... 1096.3 meV/atom
Total DFT energy (no corrections) ... -65.15 eV/cell

Compound: CsAlC
Source: the Alexandria database
Functional: GGA-PBE
Structure: optimized geometry

Structure (CIF):
```
data_CsAlC
_chemical_formula_sum 'Cs4 Al4 C4'
_cell_length_a 7.764
_cell_length_b 3.743
_cell_length_c 10.913
_cell_angle_alpha 90.00
_cell_angle_beta 90.00
_cell_angle_gamma 90.00
_symmetry_space_group_name_H-M 'P n m a'
_symmetry_Int_Tables_number 62
loop_
_symmetry_equiv_pos_as_xyz
'x,y,z'
'-x,-y,-z'
'-x+1/2,-y,z+1/2'
'x+1/2,y,-z+1/2'
'x+1/2,-y+1/2,-z+1/2'
'-x+1/2,y+1/2,z+1/2'
'-x,y+1/2,-z'
'x,-y+1/2,z'
loop_
_atom_site_label
_atom_site_fract_x
_atom_site_fract_y
_atom_site_fract_z
Cs1 0.007 0.250 0.177
Al1 0.107 0.750 0.499
C1 0.163 0.250 0.520
```

Formation energy ... 420.9 meV/atom
Total DFT energy (no corrections) ... -50.23 eV/cell

Compound: NaAcU2O8
Source: the Alexandria database
Functional: GGA-PBE
Structure: optimized geometry

Structure (CIF):
```
data_NaAcU2O8
_chemical_formula_sum 'Na2 Ac2 U4 O16'
_cell_length_a 5.588
_cell_length_b 5.588
_cell_length_c 10.704
_cell_angle_alpha 90.00
_cell_angle_beta 90.00
_cell_angle_gamma 90.00
_symmetry_space_group_name_H-M 'I -4'
_symmetry_Int_Tables_number 82
loop_
_symmetry_equiv_pos_as_xyz
'x,y,z'
'y,-x,-z'
'-x,-y,z'
'-y,x,-z'
'x+1/2,y+1/2,z+1/2'
'y+1/2,-x+1/2,-z+1/2'
'-x+1/2,-y+1/2,z+1/2'
'-y+1/2,x+1/2,-z+1/2'
loop_
_atom_site_label
_atom_site_fract_x
_atom_site_fract_y
_atom_site_fract_z
Na1 0.000 0.000 0.000
Ac1 0.000 0.500 0.250
U1 0.000 0.000 0.500
U2 0.000 0.500 0.750
O1 0.214 0.276 0.640
O2 0.216 0.777 0.609
```

Energy relative to the elements, uncorrected ... -2983.1 meV per atom
Total DFT energy (no corrections) ... -206.93 eV/cell

Compound: Tl2IO6
Source: the Alexandria database
Functional: GGA-PBE
Structure: optimized geometry

Structure (CIF):
```
data_Tl2IO6
_chemical_formula_sum 'Tl4 I2 O12'
_cell_length_a 5.610
_cell_length_b 5.721
_cell_length_c 9.090
_cell_angle_alpha 90.00
_cell_angle_beta 90.00
_cell_angle_gamma 90.00
_symmetry_space_group_name_H-M 'P n n m'
_symmetry_Int_Tables_number 58
loop_
_symmetry_equiv_pos_as_xyz
'x,y,z'
'-x,-y,-z'
'-x,-y,z'
'x,y,-z'
'x+1/2,-y+1/2,-z+1/2'
'-x+1/2,y+1/2,z+1/2'
'-x+1/2,y+1/2,-z+1/2'
'x+1/2,-y+1/2,z+1/2'
loop_
_atom_site_label
_atom_site_fract_x
_atom_site_fract_y
_atom_site_fract_z
Tl1 0.000 0.000 0.207
I1 0.000 0.500 0.000
O1 0.180 0.214 0.000
O2 0.197 0.647 0.154
```

Energy relative to the elements, uncorrected ... -445.0 meV per atom
Total DFT energy (no corrections) ... -80.07 eV/cell

Compound: Pr12Dy6Tm
Source: the Alexandria database
Functional: GGA-PBE
Structure: optimized geometry

Structure (CIF):
```
data_Pr12Dy6Tm
_chemical_formula_sum 'Pr36 Dy18 Tm3'
_cell_length_a 14.9403
_cell_length_b 14.9403
_cell_length_c 10.5334
_cell_angle_alpha 90.00
_cell_angle_beta 90.00
_cell_angle_gamma 120.00
_symmetry_space_group_name_H-M 'R -3'
_symmetry_Int_Tables_number 148
_symmetry_space_group_name_Hall '-R 3'
loop_
_atom_site_label
_atom_site_fract_x
_atom_site_fract_y
_atom_site_fract_z
Pr1 0.0486 0.7964 0.0762
Pr2 0.0661 0.8361 0.4218
Dy1 0.0487 0.8419 0.7592
Tm1 0.0000 0.0000 0.0000
```

Formation energy ... 233.9 meV/atom
Excess energy over the best structure of this formula in the dataset ... 0.106 eV per atom
Total DFT energy (no corrections) ... -254.98 eV/cell

Compound: FeTcSn3
Source: the Alexandria database
Functional: GGA-PBE
Structure: optimized geometry

Structure (CIF):
```
data_FeTcSn3
_chemical_formula_sum 'Fe1 Tc1 Sn3'
_cell_length_a 4.909
_cell_length_b 4.909
_cell_length_c 4.909
_cell_angle_alpha 90.00
_cell_angle_beta 90.00
_cell_angle_gamma 90.00
_symmetry_space_group_name_H-M 'P m -3 m'
_symmetry_Int_Tables_number 221
_symmetry_space_group_name_Hall '-P 4 2 3'
loop_
_atom_site_label
_atom_site_fract_x
_atom_site_fract_y
_atom_site_fract_z
Fe1 0.000 0.000 0.000
Tc1 0.500 0.500 0.500
Sn1 0.000 0.000 0.500
```

Formation energy ... 833.3 meV/atom
Excess energy over the best structure of this formula in the dataset ... 0.100 eV per atom
Total DFT energy (no corrections) ... -26.67 eV/cell

Compound: Ga2FePd9
Source: the Alexandria database
Functional: GGA-PBE
Structure: optimized geometry

Structure (CIF):
```
data_Ga2FePd9
_chemical_formula_sum 'Ga2 Fe1 Pd9'
_cell_length_a 3.922
_cell_length_b 3.922
_cell_length_c 11.676
_cell_angle_alpha 90.00
_cell_angle_beta 90.00
_cell_angle_gamma 90.00
_symmetry_space_group_name_H-M 'P 4/m m m'
_symmetry_Int_Tables_number 123
_symmetry_space_group_name_Hall '-P 4 2'
loop_
_atom_site_label
_atom_site_fract_x
_atom_site_fract_y
_atom_site_fract_z
Ga1 0.000 0.000 0.166
Fe1 0.000 0.000 0.500
Pd1 0.000 0.500 0.000
Pd2 0.000 0.500 0.336
Pd3 0.500 0.500 0.168
Pd4 0.500 0.500 0.500
```

Formation energy ... -332.6 meV/atom
Total DFT energy (no corrections) ... -65.24 eV/cell

Compound: Ni2SnPd2
Source: the Alexandria database
Functional: GGA-PBE
Structure: optimized geometry

Structure (CIF):
```
data_Ni2SnPd2
_chemical_formula_sum 'Ni4 Sn2 Pd4'
_cell_length_a 3.742
_cell_length_b 3.742
_cell_length_c 11.532
_cell_angle_alpha 90.00
_cell_angle_beta 90.00
_cell_angle_gamma 90.00
_symmetry_space_group_name_H-M 'I 4/m m m'
_symmetry_Int_Tables_number 139
_symmetry_space_group_name_Hall '-I 4 2'
loop_
_atom_site_label
_atom_site_fract_x
_atom_site_fract_y
_atom_site_fract_z
Ni1 0.000 0.000 0.098
Sn1 0.000 0.000 0.500
Pd1 0.000 0.500 0.250
```

Formation energy ... 144.7 meV/atom
Excess energy over the best structure of this formula in the dataset ... 0.222 eV per atom
Total DFT energy (no corrections) ... -50.46 eV/cell